[1]
DFT (meta-GGA SCAN) results for a crystal of Re3Te7Br7 relaxed with PBEsol.

The structure in extended XYZ format:
```
34
Lattice="5.103 2.946 11.547 -5.103 2.946 11.547 0.000 -5.893 11.547" Properties=species:S:1:pos:R:3 pbc="T T T"
Re -4.125 1.742 12.654
Re -3.570 -2.701 21.987
Re 0.554 -4.443 12.654
Re -0.554 4.443 21.987
Re 3.570 2.701 12.654
Re 4.125 -1.742 21.987
Te -3.151 0.528 10.454
Te 0.000 0.000 3.295
Te -2.772 -0.001 14.127
Te 1.118 -2.993 10.454
Te -1.385 -2.401 20.514
Te -2.033 -2.465 24.186
Te 1.386 -2.400 14.127
Te -1.386 2.400 20.514
Te 2.033 2.465 10.454
Te 1.385 2.401 14.127
Te -1.118 2.993 24.186
Te 2.772 0.001 20.514
Te 0.000 0.000 31.345
Te 3.151 -0.528 24.186
Br -0.550 -2.098 7.315
Br -1.541 1.525 7.315
Br -2.077 -0.745 18.706
Br -0.394 -2.172 15.934
Br 0.000 0.000 12.577
Br -1.684 1.427 15.934
Br 2.092 0.572 7.315
Br -2.092 -0.572 27.325
Br 1.684 -1.427 18.706
Br 0.000 0.000 22.063
Br 0.394 2.172 18.706
Br 2.077 0.745 15.934
Br 1.541 -1.525 27.325
Br 0.550 2.098 27.325
```

Values from the calculation:
ΔE_f (raw) in eV/atom: -0.30

[2]
DFT (meta-GGA SCAN) results for a crystal of ReTe2Br4 relaxed with PBEsol.

The structure in extended XYZ format:
```
28
Lattice="-5.821 5.821 6.852 5.821 -5.821 6.852 5.821 5.821 -6.852" Properties=species:S:1:pos:R:3 pbc="T T T"
Re 0.225 1.367 1.019
Re -4.454 5.596 5.833
Re 4.454 6.046 5.833
Re -0.225 10.275 1.019
Te 8.245 1.885 -1.779
Te 2.147 -0.365 1.467
Te 6.186 -3.674 5.385
Te 9.495 0.365 1.467
Te 1.885 3.396 1.779
Te -2.424 3.935 5.073
Te 5.456 3.674 5.385
Te 3.935 2.424 8.631
Br 5.363 4.110 -3.223
Br 3.467 -1.641 4.478
Br 7.058 2.721 0.337
Br 2.721 4.584 -0.337
Br 4.179 2.353 2.373
Br 0.458 1.710 3.629
Br -0.927 3.732 1.271
Br 2.353 7.462 -2.373
Br 3.100 1.237 6.514
Br 1.710 -0.458 10.075
Br 0.927 7.909 1.271
Br 4.110 6.279 3.223
Br -1.237 3.100 7.189
Br 2.088 4.894 5.581
Br 1.641 3.467 9.225
Br -2.088 6.747 5.581
```

Values from the calculation:
ΔE_f (raw) in eV/atom: -0.36

[3]
DFT (meta-GGA SCAN) results for a crystal of Re2TeBr relaxed with PBEsol.

The structure in extended XYZ format:
```
4
Lattice="1.525 -2.710 0.000 1.525 2.710 0.000 0.000 0.000 8.760" Properties=species:S:1:pos:R:3 pbc="T T T"
Re 0.000 0.000 2.116
Re 0.000 0.000 6.644
Te 1.525 0.000 0.000
Br 1.525 0.000 4.380
```

Values from the calculation:
ΔE_f (raw) in eV/atom: 1.57

[4]
DFT (meta-GGA SCAN) results for a crystal of ReTeBr relaxed with PBEsol.

The structure in extended XYZ format:
```
3
Lattice="0.000 3.166 3.166 3.166 0.000 3.166 3.166 3.166 0.000" Properties=species:S:1:pos:R:3 pbc="T T T"
Re 0.000 0.000 0.000
Te 1.583 1.583 1.583
Br 4.749 4.749 4.749
```

Values from the calculation:
ΔE_f (raw) in eV/atom: 0.54

[5]
DFT (meta-GGA SCAN) results for a crystal of Re2TeBr relaxed with PBEsol.

The structure in extended XYZ format:
```
4
Lattice="2.975 0.000 0.000 0.000 4.617 0.000 0.000 0.000 5.148" Properties=species:S:1:pos:R:3 pbc="T T T"
Re 0.000 0.000 0.000
Re 1.487 0.000 2.574
Te 0.000 2.309 2.574
Br 1.487 2.309 0.000
```

Values from the calculation:
ΔE_f (raw) in eV/atom: 1.63

[6]
DFT (meta-GGA SCAN) results for a crystal of ReTeBr3 relaxed with PBEsol.

The structure in extended XYZ format:
```
5
Lattice="4.974 0.000 0.000 0.000 4.974 0.000 0.000 0.000 4.974" Properties=species:S:1:pos:R:3 pbc="T T T"
Re 0.000 0.000 0.000
Te 2.487 2.487 2.487
Br 0.000 0.000 2.487
Br 0.000 2.487 0.000
Br 2.487 0.000 0.000
```

Values from the calculation:
ΔE_f (raw) in eV/atom: 0.66